1.
# PBE Pr2Nd6Mg, relaxed
data_Pr2Nd6Mg
_cell_length_a 5.1813
_cell_length_b 10.9048
_cell_length_c 10.9048
_cell_angle_alpha 90.00
_cell_angle_beta 90.00
_cell_angle_gamma 90.00
_symmetry_space_group_name_H-M 'P 1'
_symmetry_Int_Tables_number 1
loop_
_symmetry_equiv_pos_as_xyz
'x,y,z'
loop_
_atom_site_label
_atom_site_type_symbol
_atom_site_fract_x
_atom_site_fract_y
_atom_site_fract_z
Pr1 Pr 0.9998 0.3346 0.8348
Pr2 Pr 0.5002 0.8346 0.6652
Pr3 Pr 0.4998 0.1654 0.3348
Pr4 Pr 0.0002 0.6654 0.1652
Nd1 Nd 0.0000 0.9999 0.1682
Nd2 Nd 0.0001 0.6682 0.4997
Nd3 Nd 0.0002 0.6660 0.8338
Nd4 Nd 0.4998 0.1660 0.6662
Nd5 Nd 0.4999 0.1682 0.0003
Nd6 Nd 0.5000 0.4999 0.3318
Nd7 Nd 0.0000 0.0001 0.8318
Nd8 Nd 0.9999 0.3318 0.5003
Nd9 Nd 0.9998 0.3340 0.1662
Nd10 Nd 0.5002 0.8340 0.3338
Nd11 Nd 0.5001 0.8318 0.9997
Nd12 Nd 0.5000 0.5001 0.6682
Mg1 Mg 0.5000 0.5000 0.0000
Mg2 Mg 0.0000 0.0000 0.5000
# Space group: No. 136
# Energy relative to the elements (eV/f.u.): 0.110
# Crystal system: tetragonal



2.
# PBE PrNdMg, relaxed
data_PrNdMg
_cell_length_a 6.2065
_cell_length_b 6.2065
_cell_length_c 6.7612
_cell_angle_alpha 117.32
_cell_angle_beta 117.32
_cell_angle_gamma 90.00
_symmetry_space_group_name_H-M 'P 1'
_symmetry_Int_Tables_number 1
loop_
_symmetry_equiv_pos_as_xyz
'x,y,z'
loop_
_atom_site_label
_atom_site_type_symbol
_atom_site_fract_x
_atom_site_fract_y
_atom_site_fract_z
Mg1 Mg 0.7511 0.7511 0.5022
Mg2 Mg 0.0011 0.5011 0.0022
Nd1 Nd 0.3229 0.8229 0.6458
Nd2 Nd 0.0729 0.0729 0.1458
Pr1 Pr 0.4260 0.4260 0.8520
Pr2 Pr 0.6760 0.1760 0.3520
# Space group: No. 109
# Energy relative to the elements (eV/f.u.): 0.780
# ΔE to the lowest computed polymorph (meV/atom): 318
# Crystal system: tetragonal